Entry 1:
## CrReRh6 (PBE)

Data for an optimized crystal structure of CrReRh6.

```
data_CrReRh6
_chemical_formula_sum 'Cr1 Re1 Rh6'
_symmetry_space_group_name_H-M 'P 1'
_symmetry_Int_Tables_number 1
_symmetry_space_group_name_Hall 'P 1'
_cell_length_a 5.058
_cell_length_b 5.058
_cell_length_c 5.058
_cell_angle_alpha 93.43
_cell_angle_beta 93.43
_cell_angle_gamma 93.43
loop_
_atom_site_label
_atom_site_fract_x
_atom_site_fract_y
_atom_site_fract_z
Cr1 0.000 0.000 0.000
Re1 0.500 0.500 0.500
Rh1 0.065 0.680 0.680
Rh2 0.320 0.320 0.935
Rh3 0.320 0.935 0.320
Rh4 0.680 0.065 0.680
Rh5 0.680 0.680 0.065
Rh6 0.935 0.320 0.320
```

## Properties
Its energy of formation from the pure elements is 4.92 eV/f.u. The final energy is -61.3 eV per cell. Its density of states at the Fermi level is 1.140 states/eV/atom.

***

Entry 2:
## CrReSnRh2 (PBE)

Data for an optimized crystal structure of CrReSnRh2.

```
data_CrReSnRh2
_chemical_formula_sum 'Cr1 Re1 Sn1 Rh2'
_symmetry_space_group_name_H-M 'P 1'
_symmetry_Int_Tables_number 1
_symmetry_space_group_name_Hall 'P 1'
_cell_length_a 4.507
_cell_length_b 4.507
_cell_length_c 4.479
_cell_angle_alpha 90.00
_cell_angle_beta 90.00
_cell_angle_gamma 90.00
loop_
_atom_site_label
_atom_site_fract_x
_atom_site_fract_y
_atom_site_fract_z
Cr1 0.000 0.000 0.000
Re1 0.000 0.000 0.500
Sn1 0.500 0.500 0.500
Rh1 0.000 0.500 0.000
Rh2 0.500 0.000 0.000
```

## Properties
Its energy of formation from the pure elements is 4.87 eV/f.u. The final energy is -35.9 eV per cell. Its density of states at the Fermi level is 0.950 states/eV/atom.

***

Entry 3:
## TlCrRe2Rh (PBE)

Data for an optimized crystal structure of TlCrRe2Rh.

```
data_TlCrRe2Rh
_chemical_formula_sum 'Tl1 Cr1 Re2 Rh1'
_symmetry_space_group_name_H-M 'P 1'
_symmetry_Int_Tables_number 1
_symmetry_space_group_name_Hall 'P 1'
_cell_length_a 4.510
_cell_length_b 4.510
_cell_length_c 4.542
_cell_angle_alpha 90.00
_cell_angle_beta 90.00
_cell_angle_gamma 90.00
loop_
_atom_site_label
_atom_site_fract_x
_atom_site_fract_y
_atom_site_fract_z
Tl1 0.000 0.000 0.000
Cr1 0.500 0.500 0.500
Re1 0.000 0.500 0.500
Re2 0.500 0.000 0.500
Rh1 0.500 0.500 0.000
```

## Properties
Its energy of formation from the pure elements is 7.17 eV/f.u. The final energy is -37.1 eV per cell. Its density of states at the Fermi level is 1.427 states/eV/atom.